Entry 1:
DFT (meta-GGA SCAN) results for a PBEsol-optimized structure of YZn2Ni.

Lattice parameters (Å, degrees): 4.185 4.185 5.137 65.96 65.96 60.00
Positions (direct):
Y1 0.754 0.754 0.739
Ni1 0.555 0.555 0.335
Zn1 0.960 0.960 0.120
Zn2 0.229 0.229 0.313

* energy of formation from the pure elements: -380 meV per atom
* SG: R3m (160)
* E: -72.6 eV/cell

Entry 2:
DFT (meta-GGA SCAN) results for a PBEsol-optimized structure of BaZr2Bi2.

Lattice parameters (Å, degrees): 4.495 4.495 8.105 106.10 106.10 90.00
Positions (direct):
Bi1 0.383 0.383 0.767
Bi2 0.617 0.617 0.233
Zr1 0.250 0.750 0.500
Zr2 0.750 0.250 0.500
Ba1 0.000 0.000 0.000

* energy of formation from the pure elements: -576 meV per atom
* SG: I4/mmm (139)
* E: -261.0 eV/cell

> What is the energy of formation from the pure elements in the first record?

-380 meV per atom